# Rb3Sm2YTe6 PBE relaxed
data_Rb3Sm2YTe6
_chemical_formula_sum 'Rb6 Sm4 Y2 Te12'
_symmetry_space_group_name_H-M 'C 1 2/m 1'
_symmetry_Int_Tables_number 12
_symmetry_space_group_name_Hall '-C 2y'
_cell_length_a 7.9296
_cell_length_b 13.7346
_cell_length_c 8.9603
_cell_angle_alpha 90.00
_cell_angle_beta 107.16
_cell_angle_gamma 90.00
loop_
_atom_site_label
_atom_site_fract_x
_atom_site_fract_y
_atom_site_fract_z
Rb1 0.0000 0.0000 0.0000
Rb2 0.0000 0.3321 0.0000
Sm1 0.0000 0.1665 0.5000
Y1 0.0000 0.5000 0.5000
Te1 0.2317 0.3354 0.7017
Te2 0.2384 0.0000 0.7022
# E_tot	-4.539	eV per atom
# formation energy (no corrections)	-1401	meV/atom
# total magnetic moment	0.0	μB per cell